[1]
The following is a PBE calculation of crystalline LiPm2Sc at its relaxed geometry, from Alexandria via LeMat-Bulk.

Energy relative to the lowest polymorph listed for this composition ... 57 meV per atom
Spin magnetization ... 0.00 μB/atom
Energy of formation from the pure elements ... 13 kJ per mole of atoms

abc: 7.683 7.683 7.683
angles: 90.00 90.00 90.00
Space group Fm-3m (No. 225)
Symmetry-distinct sites (fractional):
Li1 0.000 0.000 0.000 x4
Pm1 0.250 0.250 0.250 x8
Sc1 0.000 0.000 0.500 x4


[2]
The following is a PBE calculation of crystalline Tl2CuW at its relaxed geometry, from Alexandria via LeMat-Bulk.

Energy relative to the lowest polymorph listed for this composition ... 237 meV per atom
Spin magnetization ... 0.00 μB/atom
Energy of formation from the pure elements ... 85 kJ per mole of atoms

abc: 6.293 9.514 2.987
angles: 90.00 117.61 90.00
Space group C2/m (No. 12)
Symmetry-distinct sites (fractional):
Tl1 0.250 0.250 0.000 x4
Cu1 0.000 0.000 0.500 x2
W1 0.000 0.500 0.500 x2


[3]
The following is a PBE calculation of crystalline TbHo3Sn2 at its relaxed geometry, from Alexandria via LeMat-Bulk.

Spin magnetization ... 0.10 μB/atom
Energy of formation from the pure elements ... -47 kJ per mole of atoms

abc: 17.849 4.525 9.510
angles: 90.00 113.80 90.00
Space group C2/m (No. 12)
Symmetry-distinct sites (fractional):
Tb1 0.114 0.000 0.126 x4
Ho1 0.055 0.000 0.690 x4
Ho2 0.147 0.500 0.483 x4
Ho3 0.192 0.500 0.890 x4
Sn1 0.007 0.500 0.852 x4
Sn2 0.246 0.000 0.718 x4


[4]
The following is a PBE calculation of crystalline ZrMo2Pt at its relaxed geometry, from Alexandria via LeMat-Bulk.

Energy relative to the lowest polymorph listed for this composition ... 311 meV per atom
Spin magnetization ... 0.00 μB/atom
Energy of formation from the pure elements ... 4 kJ per mole of atoms

abc: 2.803 4.124 5.993
angles: 90.00 90.00 90.00
Space group Pmmm (No. 47)
Symmetry-distinct sites (fractional):
Zr1 0.000 0.000 0.000 x1
Mo1 0.500 0.500 0.278 x2
Pt1 0.000 0.000 0.500 x1


[5]
The following is a PBE calculation of crystalline Sr2ZnRu at its relaxed geometry, from Alexandria via LeMat-Bulk.

Spin magnetization ... 0.00 μB/atom
Energy of formation from the pure elements ... 39 kJ per mole of atoms

abc: 7.251 7.251 7.251
angles: 90.00 90.00 90.00
Space group F-43m (No. 216)
Symmetry-distinct sites (fractional):
Sr1 0.000 0.000 0.000 x4
Sr2 0.250 0.250 0.250 x4
Zn1 0.250 0.250 0.750 x4
Ru1 0.000 0.000 0.500 x4


[6]
The following is a PBE calculation of crystalline PrSm6Ho2Er at its relaxed geometry, from Alexandria via LeMat-Bulk.

Spin magnetization ... 0.00 μB/atom
Energy of formation from the pure elements ... 11 kJ per mole of atoms

abc: 9.249 15.187 9.602
angles: 90.00 96.66 90.00
Space group C2/c (No. 15)
Symmetry-distinct sites (fractional):
Pr1 0.000 0.028 0.250 x4
Sm1 0.062 0.181 0.944 x8
Sm2 0.097 0.390 0.118 x8
Sm3 0.214 0.224 0.315 x8
Ho1 0.247 0.450 0.452 x8
Er1 0.000 0.411 0.750 x4


[7]
The following is a PBE calculation of crystalline Tm2MnCu at its relaxed geometry, from Alexandria via LeMat-Bulk.

Energy relative to the lowest polymorph listed for this composition ... 66 meV per atom
Spin magnetization ... 0.83 μB/atom
Energy of formation from the pure elements ... 0 kJ per mole of atoms

abc: 6.907 6.907 6.907
angles: 90.00 90.00 90.00
Space group Fm-3m (No. 225)
Symmetry-distinct sites (fractional):
Tm1 0.250 0.250 0.250 x8
Mn1 0.000 0.000 0.000 x4
Cu1 0.000 0.000 0.500 x4


[8]
The following is a PBE calculation of crystalline Ac2PuNi3Pt12 at its relaxed geometry, from Alexandria via LeMat-Bulk.

Spin magnetization ... 0.05 μB/atom
Energy of formation from the pure elements ... -9 kJ per mole of atoms

abc: 8.1094 8.1094 20.3052
angles: 90.00 90.00 120.00
Space group R-3m (No. 166, hexagonal axes)
Symmetry-distinct sites (fractional):
Ac1 0.0000 0.0000 0.1145 x6
Pu1 0.0000 0.0000 0.5000 x3
Ni1 0.0000 0.5000 0.0000 x9
Pt1 0.0077 0.5038 0.3689 x18
Pt2 0.0200 0.5100 0.8796 x18


[9]
The following is a PBE calculation of crystalline NiAu2Cl at its relaxed geometry, from Alexandria via LeMat-Bulk.

Energy relative to the lowest polymorph listed for this composition ... 78 meV per atom
Spin magnetization ... 0.13 μB/atom
Formation energy (no corrections) ... 0.1230 eV/atom

abc: 3.105 5.143 9.090
angles: 90.00 90.00 90.00
Space group Cmm2 (No. 35)
Symmetry-distinct sites (fractional):
Ni1 0.000 0.000 0.000 x2
Au1 0.000 0.000 0.512 x2
Au2 0.000 0.500 0.775 x2
Cl1 0.000 0.500 0.169 x2


[10]
The following is a PBE calculation of crystalline LaTb12In6 at its relaxed geometry, from Alexandria via LeMat-Bulk.

Spin magnetization ... 0.03 μB/atom
Energy of formation from the pure elements ... -7 kJ per mole of atoms

abc: 13.8662 13.8662 11.3454
angles: 90.00 90.00 120.00
Space group R-3m (No. 166, hexagonal axes)
Symmetry-distinct sites (fractional):
La1 0.0000 0.0000 0.0000 x3
Tb1 0.0000 0.3801 0.5000 x18
Tb2 0.0890 0.1780 0.3560 x18
In1 0.0263 0.5132 0.2685 x18


[11]
The following is a PBE calculation of crystalline CrTeW at its relaxed geometry, from Alexandria via LeMat-Bulk.

Energy relative to the lowest polymorph listed for this composition ... 264 meV per atom
Spin magnetization ... 0.88 μB/atom
Formation energy (no corrections) ... 0.6839 eV/atom

abc: 3.3214 3.3214 12.1197
angles: 90.00 90.00 120.00
Space group P-6m2 (No. 187)
Symmetry-distinct sites (fractional):
Cr1 0.0000 0.0000 0.1414 x2
Te1 0.3333 0.6667 0.3381 x2
W1 0.6667 0.3333 0.0000 x1
W2 0.6667 0.3333 0.5000 x1


[12]
The following is a PBE calculation of crystalline Sm4ZnBi at its relaxed geometry, from Alexandria via LeMat-Bulk.

Spin magnetization ... 0.00 μB/atom
Energy of formation from the pure elements ... -22 kJ per mole of atoms

abc: 5.720 20.579 6.455
angles: 90.00 90.00 90.00
Space group Cmcm (No. 63)
Symmetry-distinct sites (fractional):
Sm1 0.000 0.055 0.250 x4
Sm2 0.000 0.205 0.001 x8
Sm3 0.000 0.391 0.250 x4
Zn1 0.000 0.082 0.750 x4
Bi1 0.000 0.353 0.750 x4